DFT (GGA-PBE) results for a relaxed RbScFePt2 crystal.

The structure belongs to space group P4/mmm (No. 123); the cell edges are 5.065, 5.065 and 4.979 Å and the angles 90.00°, 90.00° and 90.00°. Symmetry generates all atoms from Rb at (0.000, 0.000, 0.000), Sc at (0.500, 0.500, 0.500), Fe at (0.500, 0.500, 0.000) and Pt at (0.000, 0.500, 0.500).

Its formation energy from the elements is 58.1 kJ per mole of atoms.

DFT (GGA-PBE) results for a relaxed RbFeTePt2 crystal.

The structure belongs to space group P4/mmm (No. 123); the cell edges are 5.153, 5.153 and 4.949 Å and the angles 90.00°, 90.00° and 90.00°. Symmetry generates all atoms from Rb at (0.000, 0.000, 0.000), Fe at (0.500, 0.500, 0.000), Te at (0.500, 0.500, 0.500) and Pt at (0.000, 0.500, 0.500).

The formation energy (no corrections) is 0.4740 eV/atom.

DFT (GGA-PBE) results for a relaxed RbYFePt2 crystal.

The structure belongs to space group P4/mmm (No. 123); the cell edges are 5.206, 5.206 and 6.309 Å and the angles 90.00°, 90.00° and 90.00°. Symmetry generates all atoms from Rb at (0.000, 0.000, 0.000), Y at (0.000, 0.000, 0.500), Fe at (0.500, 0.500, 0.000) and Pt at (0.000, 0.500, 0.500).

Its formation energy from the elements is 112.4 kJ per mole of atoms.

DFT (GGA-PBE) results for a relaxed FeRePt2 crystal.

The structure belongs to space group R3m (No. 160, hexagonal axes); the cell edges are 2.7472, 2.7472 and 26.7856 Å and the angles 90.00°, 90.00° and 120.00°. Symmetry generates all atoms from Fe at (0.0000, 0.0000, 0.0000), Re at (0.0000, 0.0000, 0.7441), Pt at (0.0000, 0.0000, 0.2538) and Pt at (0.0000, 0.0000, 0.4959).

Its formation energy from the elements is -4.3 kJ per mole of atoms. Its polymorph energy (0 for the lowest one) is 88.9 meV/atom.

DFT (GGA-PBE) results for a relaxed FeRePt3 crystal.

The structure belongs to space group Pm-3m (No. 221); the cell edges are 4.817, 4.817 and 4.817 Å and the angles 90.00°, 90.00° and 90.00°. Symmetry generates all atoms from Fe at (0.000, 0.000, 0.000), Re at (0.500, 0.500, 0.500) and Pt at (0.000, 0.500, 0.500).

Its formation energy from the elements is 140.7 kJ per mole of atoms. Its polymorph energy (0 for the lowest one) is 0.0 meV/atom.

DFT (GGA-PBE) results for a relaxed FeRePt2 crystal.

The structure belongs to space group F-43m (No. 216); the cell edges are 6.178, 6.178 and 6.178 Å and the angles 90.00°, 90.00° and 90.00°. Symmetry generates all atoms from Fe at (0.000, 0.000, 0.000), Re at (0.250, 0.250, 0.250), Pt at (0.000, 0.000, 0.500) and Pt at (0.250, 0.250, 0.750).

Its formation energy from the elements is 13.8 kJ per mole of atoms. Its polymorph energy (0 for the lowest one) is 276.4 meV/atom.

DFT (GGA-PBE) results for a relaxed FeRePt2 crystal.

The structure belongs to space group P4mm (No. 99); the cell edges are 3.233, 3.233 and 5.624 Å and the angles 90.00°, 90.00° and 90.00°. Symmetry generates all atoms from Fe at (0.000, 0.000, 0.000), Re at (0.500, 0.500, 0.757), Pt at (0.000, 0.000, 0.501) and Pt at (0.500, 0.500, 0.228).

Its formation energy from the elements is 7.0 kJ per mole of atoms. Its polymorph energy (0 for the lowest one) is 205.9 meV/atom.

DFT (GGA-PBE) results for a relaxed FeRePt2 crystal.

The structure belongs to space group P4mm (No. 99); the cell edges are 2.723, 2.723 and 7.764 Å and the angles 90.00°, 90.00° and 90.00°. Symmetry generates all atoms from Fe at (0.000, 0.000, 0.000), Re at (0.500, 0.500, 0.771), Pt at (0.000, 0.000, 0.516) and Pt at (0.500, 0.500, 0.236).

Its formation energy from the elements is -9.5 kJ per mole of atoms. Its polymorph energy (0 for the lowest one) is 34.1 meV/atom.